Compound: CaIr2Ru
Source: the Alexandria database
Functional: PBE-GGA
Structure: optimized geometry

a = 9.499 Å, b = 9.499 Å, c = 9.499 Å
α = 17.19°, β = 17.19°, γ = 17.19°
Atoms (fractional coordinates):
Ru (0.507, 0.507, 0.507)
Ir (0.995, 0.995, 0.995)
Ir (0.248, 0.248, 0.248)
Ca (0.749, 0.749, 0.749)

Values from the calculation:
Calculated volume: 16.33 Å³ per atom
Size of the total moment: 0.003 μB per cell
E above lowest polymorph: 394 meV/atom
SG: No. 160